Computed, not measured: a relaxed structure of YNiO3 at the GGA+U level of DFT.

The uncorrected energy is -6.938 eV per atom. The calculation puts the density of states at the Fermi level at 0.187 states/eV per atom. The value obtained for the magnetization is 1.00 μB/f.u.

CIF file:
```
data_YNiO3
_chemical_formula_sum 'Y4 Ni4 O12'
_cell_length_a 5.6321
_cell_length_b 7.4797
_cell_length_c 5.2240
_cell_angle_alpha 90.00
_cell_angle_beta 90.00
_cell_angle_gamma 90.00
_symmetry_space_group_name_H-M 'P n m a'
_symmetry_Int_Tables_number 62
loop_
_symmetry_equiv_pos_as_xyz
'x,y,z'
'-x,-y,-z'
'-x+1/2,-y,z+1/2'
'x+1/2,y,-z+1/2'
'x+1/2,-y+1/2,-z+1/2'
'-x+1/2,y+1/2,z+1/2'
'-x,y+1/2,-z'
'x,-y+1/2,z'
loop_
_atom_site_label
_atom_site_type_symbol
_atom_site_fract_x
_atom_site_fract_y
_atom_site_fract_z
Y1 Y 0.0777 0.2500 0.0208
Ni1 Ni 0.0000 0.0000 0.5000
O1 O 0.0306 0.7500 0.3961
O2 O 0.1916 0.5517 0.8024
```

=====

Computed, not measured: a relaxed structure of Y3NiO at the GGA+U level of DFT.

As for the offset from the most stable computed form: 0.00 kJ per mole of atoms. The uncorrected energy is -6.175 eV per atom. The calculation puts the density of states at the Fermi level at 1.293 states/eV per atom. The value obtained for the magnetization is 0.21 μB/f.u.

CIF file:
```
data_Y3NiO
_chemical_formula_sum 'Y3 Ni1 O1'
_cell_length_a 4.6802
_cell_length_b 4.6802
_cell_length_c 4.6802
_cell_angle_alpha 90.00
_cell_angle_beta 90.00
_cell_angle_gamma 90.00
_symmetry_space_group_name_H-M 'P m -3 m'
_symmetry_Int_Tables_number 221
_symmetry_space_group_name_Hall '-P 4 2 3'
loop_
_atom_site_label
_atom_site_type_symbol
_atom_site_fract_x
_atom_site_fract_y
_atom_site_fract_z
Y1 Y 0.0000 0.0000 0.5000
Ni1 Ni 0.5000 0.5000 0.5000
O1 O 0.0000 0.0000 0.0000
```

=====

Computed, not measured: a relaxed structure of YNiO3 at the GGA+U level of DFT.

The uncorrected energy is -6.721 eV per atom. The calculation puts the density of states at the Fermi level at 0.107 states/eV per atom. The value obtained for the magnetization is 1.00 μB/f.u.

CIF file:
```
data_YNiO3
_chemical_formula_sum 'Y1 Ni1 O3'
_cell_length_a 3.7274
_cell_length_b 3.7274
_cell_length_c 3.7274
_cell_angle_alpha 90.00
_cell_angle_beta 90.00
_cell_angle_gamma 90.00
_symmetry_space_group_name_H-M 'P m -3 m'
_symmetry_Int_Tables_number 221
_symmetry_space_group_name_Hall '-P 4 2 3'
loop_
_atom_site_label
_atom_site_type_symbol
_atom_site_fract_x
_atom_site_fract_y
_atom_site_fract_z
Y1 Y 0.0000 0.0000 0.0000
Ni1 Ni 0.5000 0.5000 0.5000
O1 O 0.0000 0.5000 0.5000
```

=====

Computed, not measured: a relaxed structure of YNiO3 at the GGA+U level of DFT.

The uncorrected energy is -6.863 eV per atom. The calculation puts the density of states at the Fermi level at 0.150 states/eV per atom. The value obtained for the magnetization is 0.99 μB/f.u.

CIF file:
```
data_YNiO3
_chemical_formula_sum 'Y6 Ni6 O18'
_cell_length_a 6.1908
_cell_length_b 6.1908
_cell_length_c 11.3711
_cell_angle_alpha 90.00
_cell_angle_beta 90.00
_cell_angle_gamma 120.00
_symmetry_space_group_name_H-M 'P 63 c m'
_symmetry_Int_Tables_number 185
_symmetry_space_group_name_Hall 'P 6c -2'
loop_
_atom_site_label
_atom_site_type_symbol
_atom_site_fract_x
_atom_site_fract_y
_atom_site_fract_z
Y1 Y 0.0000 0.0000 0.0000
Y2 Y 0.3333 0.6667 0.4587
Ni1 Ni 0.0000 0.3318 0.2259
O1 O 0.0000 0.0000 0.2052
O2 O 0.0000 0.3099 0.3891
O3 O 0.0000 0.3563 0.0626
O4 O 0.3333 0.6667 0.2438
```

=====

Computed, not measured: a relaxed structure of YNi3O at the GGA+U level of DFT.

As for the offset from the most stable computed form: 0.00 kJ per mole of atoms. The uncorrected energy is -3.692 eV per atom. The calculation puts the density of states at the Fermi level at 0.570 states/eV per atom. The value obtained for the magnetization is 1.70 μB/f.u.

CIF file:
```
data_YNi3O
_chemical_formula_sum 'Y1 Ni3 O1'
_cell_length_a 4.1551
_cell_length_b 4.1551
_cell_length_c 4.1551
_cell_angle_alpha 90.00
_cell_angle_beta 90.00
_cell_angle_gamma 90.00
_symmetry_space_group_name_H-M 'P m -3 m'
_symmetry_Int_Tables_number 221
_symmetry_space_group_name_Hall '-P 4 2 3'
loop_
_atom_site_label
_atom_site_type_symbol
_atom_site_fract_x
_atom_site_fract_y
_atom_site_fract_z
Y1 Y 0.0000 0.0000 0.0000
Ni1 Ni 0.0000 0.5000 0.5000
O1 O 0.5000 0.5000 0.5000
```

=====

Computed, not measured: a relaxed structure of YNiO2 at the GGA+U level of DFT.

The uncorrected energy is -6.226 eV per atom. The calculation puts the density of states at the Fermi level at 1.401 states/eV per atom. The value obtained for the magnetization is 1.00 μB/f.u.

CIF file:
```
data_YNiO2
_chemical_formula_sum 'Y4 Ni4 O8'
_cell_length_a 5.6199
_cell_length_b 5.6199
_cell_length_c 5.6199
_cell_angle_alpha 90.00
_cell_angle_beta 90.00
_cell_angle_gamma 90.00
_symmetry_space_group_name_H-M 'F m -3 m'
_symmetry_Int_Tables_number 225
_symmetry_space_group_name_Hall '-F 4 2 3'
loop_
_atom_site_label
_atom_site_type_symbol
_atom_site_fract_x
_atom_site_fract_y
_atom_site_fract_z
Y1 Y 0.0000 0.0000 0.0000
Ni1 Ni 0.0000 0.0000 0.5000
O1 O 0.2500 0.2500 0.2500
```